Here is a geometry-optimized NdTlH structure from Alexandria via LeMat-Bulk. Energies are from GGA-PBE.

CIF file:
```
data_NdTlH
_chemical_formula_sum 'Nd2 Tl2 H2'
_symmetry_space_group_name_H-M 'P 1'
_symmetry_Int_Tables_number 1
_cell_length_a 3.929
_cell_length_b 4.952
_cell_length_c 6.839
_cell_angle_alpha 93.87
_cell_angle_beta 106.68
_cell_angle_gamma 90.00
loop_
_symmetry_equiv_pos_as_xyz
'x,y,z'
loop_
_atom_site_label
_atom_site_fract_x
_atom_site_fract_y
_atom_site_fract_z
_atom_site_occupancy
H1 0.763 0.161 0.526 1
H2 0.237 0.839 0.474 1
Tl1 0.929 0.738 0.857 1
Tl2 0.071 0.262 0.143 1
Nd1 0.343 0.224 0.685 1
Nd2 0.657 0.776 0.315 1
```

## Properties
E above lowest polymorph, meV/atom: 0
N(E_F), states/eV/f.u.: 0.6
Symmetry: C2/m (12)